First-principles (PBE) data for a relaxed structure of Hf3BrO, as listed in the Alexandria database.

volume = 18.02 A^3/atom
M_tot = 0.0 μB/f.u.
E_form (uncorrected) = -0.463 eV per atom

Lattice parameters (Å, degrees): 4.4832 4.4832 4.4832 90.00 90.00 90.00
Last column: nearest neighbours and their distance in Å.
Fractional coordinates of all 5 atoms:
Hf 0.0000 0.0000 0.5000  2 O 2.24
Hf 0.0000 0.5000 0.0000  2 O 2.24
Hf 0.5000 0.0000 0.0000  2 O 2.24
Br 0.5000 0.5000 0.5000  12 Hf 3.17
O 0.0000 0.0000 0.0000  6 Hf 2.24

---

First-principles (PBE) data for a relaxed structure of HfBrO3, as listed in the Alexandria database.

volume = 13.93 A^3/atom
M_tot = 1.2 μB/f.u.
E_form (uncorrected) = -1.439 eV per atom

Lattice parameters (Å, degrees): 4.1142 4.1142 4.1142 90.00 90.00 90.00
Last column: nearest neighbours and their distance in Å.
Fractional coordinates of all 5 atoms:
Hf 0.0000 0.0000 0.0000  6 O 2.06
Br 0.5000 0.5000 0.5000  12 O 2.91
O 0.0000 0.0000 0.5000  2 Hf 2.06
O 0.0000 0.5000 0.0000  2 Hf 2.06
O 0.5000 0.0000 0.0000  2 Hf 2.06